Material: HI
Method: DFT, PBE
State: optimized geometry

- space group = C2/c, No. 15
- crystal system = monoclinic

a = 8.3409 Å, b = 8.3409 Å, c = 9.3107 Å
α = 116.76°, β = 116.76°, γ = 89.69°
Last column: nearest neighbours and their distance in Å.
Fractional positions:
H  0.0500  0.7552  0.5019  1 I 1.67
H  0.2448  0.9500  0.9981  1 I 1.67
H  0.2540  0.4497  0.4994  1 I 1.67
H  0.4497  0.2540  0.9994  1 I 1.67
H  0.5503  0.7460  0.0006  1 I 1.67
H  0.7460  0.5503  0.5006  1 I 1.67
H  0.7552  0.0500  0.0019  1 I 1.67
H  0.9500  0.2448  0.4981  1 I 1.67
I  0.2412  0.7500  0.9976  1 H 1.67
I  0.2494  0.2579  0.9984  1 H 1.67
I  0.2500  0.7588  0.5024  1 H 1.67
I  0.2579  0.2494  0.4984  1 H 1.67
I  0.7421  0.7506  0.5016  1 H 1.67
I  0.7500  0.2412  0.4976  1 H 1.67
I  0.7506  0.7421  0.0016  1 H 1.67
I  0.7588  0.2500  0.0024  1 H 1.67

---

Material: Be2Zn2Ga
Method: DFT, PBE
State: optimized geometry

- offset from the most stable computed form (meV per atom) = 86
- space group = I4/mmm, No. 139
- crystal system = tetragonal

a = 6.3413 Å, b = 6.3413 Å, c = 6.3413 Å
α = 148.70°, β = 148.70°, γ = 44.85°
Last column: nearest neighbours and their distance in Å.
Fractional positions:
Be  0.2500  0.7500  0.5000  4 Zn 2.37, 4 Be 2.42
Be  0.7500  0.2500  0.5000  4 Zn 2.37, 4 Be 2.42
Zn  0.1095  0.1095  0.0000  4 Be 2.37, 1 Zn 2.57
Zn  0.8905  0.8905  0.0000  4 Be 2.37, 1 Zn 2.57
Ga  0.5000  0.5000  0.0000  8 Zn 2.74

---

Material: Na2TeIr
Method: DFT, PBE
State: optimized geometry

- space group = I4_1/amd, No. 141
- crystal system = tetragonal

a = 8.3761 Å, b = 8.3761 Å, c = 8.3761 Å
α = 94.92°, β = 94.92°, γ = 145.95°
Last column: nearest neighbours and their distance in Å.
Fractional positions:
Na  0.0000  0.0000  0.0000  2 Ir 2.90
Na  0.0000  0.0000  0.5000  2 Ir 2.90
Na  0.0000  0.5000  0.0000  2 Ir 2.90
Na  0.5000  0.0000  0.5000  2 Ir 2.90
Te  0.3750  0.6250  0.7500  2 Ir 2.45
Te  0.6250  0.3750  0.2500  2 Ir 2.45
Ir  0.1250  0.8750  0.2500  2 Te 2.45
Ir  0.8750  0.1250  0.7500  2 Te 2.45

---

Values for E, eV per atom, ordered as above
-2.44 -2.30 -3.66
Values for Fermi-level density of states, states/eV/cell, ordered as above
0.00 1.54 3.43